Entry 1:
Below is crystalline Ca2MgTe at its relaxed geometry, with properties calculated at the PBE level.

- Theoretical density: 3.241 g/cm³
- Uncorrected energy: -2.756 eV/atom
- Crystal system: orthorhombic
- Energy above the most stable polymorph in this dataset: 0.1410 eV per atom
- Magnetization: 0.00 μB per atom

Structure (CIF):
```
data_Ca2MgTe
_chemical_formula_sum 'Ca4 Mg2 Te2'
_space_group_name_H-M_alt 'I m m m'
_space_group_IT_number 71
_space_group_name_Hall '-I 2 2'
_cell_length_a 4.896
_cell_length_b 4.966
_cell_length_c 9.782
_cell_angle_alpha 90.00
_cell_angle_beta 90.00
_cell_angle_gamma 90.00
loop_
_atom_site_label
_atom_site_type_symbol
_atom_site_fract_x
_atom_site_fract_y
_atom_site_fract_z
Ca1 Ca 0.000 0.000 0.248
Mg1 Mg 0.000 0.500 0.000
Te1 Te 0.000 0.500 0.500
```

=====

Entry 2:
Below is crystalline Cd2GeBi at its relaxed geometry, with properties calculated at the PBE level.

- Formation energy from the elements: 0.1962 eV/atom
- Theoretical density: 8.215 g/cm³
- Uncorrected energy: -2.386 eV/atom
- Crystal system: tetragonal
- Energy above the most stable polymorph in this dataset: 0.0578 eV per atom
- Magnetization: 0.00 μB per atom

Structure (CIF):
```
data_Cd2GeBi
_chemical_formula_sum 'Cd8 Ge4 Bi4'
_space_group_name_H-M_alt 'I -4 2 d'
_space_group_IT_number 122
_space_group_name_Hall 'I -4 2bw'
_cell_length_a 8.153
_cell_length_b 8.153
_cell_length_c 6.160
_cell_angle_alpha 90.00
_cell_angle_beta 90.00
_cell_angle_gamma 90.00
loop_
_atom_site_label
_atom_site_type_symbol
_atom_site_fract_x
_atom_site_fract_y
_atom_site_fract_z
Cd1 Cd 0.221 0.250 0.125
Ge1 Ge 0.000 0.000 0.000
Bi1 Bi 0.000 0.000 0.500
```

=====

Entry 3:
Below is crystalline Li2AlF6 at its relaxed geometry, with properties calculated at the PBE level.

- Theoretical density: 2.705 g/cm³
- Uncorrected energy: -4.948 eV/atom
- Crystal system: tetragonal
- Energy above the most stable polymorph in this dataset: 0.0000 eV per atom
- Magnetization: 0.12 μB per atom

Structure (CIF):
```
data_Li2AlF6
_chemical_formula_sum 'Li4 Al2 F12'
_space_group_name_H-M_alt 'P 42/m n m'
_space_group_IT_number 136
_space_group_name_Hall '-P 4n 2n'
_cell_length_a 4.619
_cell_length_b 4.619
_cell_length_c 8.909
_cell_angle_alpha 90.00
_cell_angle_beta 90.00
_cell_angle_gamma 90.00
loop_
_atom_site_label
_atom_site_type_symbol
_atom_site_fract_x
_atom_site_fract_y
_atom_site_fract_z
Li1 Li 0.000 0.000 0.165
Al1 Al 0.000 0.000 0.500
F1 F 0.191 0.191 0.351
F2 F 0.221 0.221 0.000
```

=====

Entry 4:
Below is crystalline Pm6Ho2In at its relaxed geometry, with properties calculated at the PBE level.

- Formation energy from the elements: -0.0113 eV/atom
- Theoretical density: 7.625 g/cm³
- Uncorrected energy: -4.500 eV/atom
- Crystal system: monoclinic
- Energy above the most stable polymorph in this dataset: 0.0298 eV per atom
- Magnetization: 0.00 μB per atom

Structure (CIF):
```
data_Pm6Ho2In
_chemical_formula_sum 'Pm12 Ho4 In2'
_space_group_name_H-M_alt 'C 1 2/m 1'
_space_group_IT_number 12
_space_group_name_Hall '-C 2y'
_cell_length_a 16.994
_cell_length_b 9.786
_cell_length_c 3.443
_cell_angle_alpha 90.00
_cell_angle_beta 90.22
_cell_angle_gamma 90.00
loop_
_atom_site_label
_atom_site_type_symbol
_atom_site_fract_x
_atom_site_fract_y
_atom_site_fract_z
Pm1 Pm 0.000 0.176 0.000
Pm2 Pm 0.164 0.336 0.995
Ho1 Ho 0.166 0.000 0.500
In1 In 0.000 0.500 0.500
```